No. 1
10
Lattice="-1.6502 0.1002 -4.6679 0.5296 -3.9795 -2.9010 -4.4068 -2.8466 -1.1270" Properties=species:S:1:pos:R:3 comment="Co2NiGeO6, relaxed, DFT GGA+U" total_magnetization_mub_per_cell=3.994 space_group=R3 energy_ev_per_cell=-58.5 pbc="T T T"
O -2.2607 -2.9997 -6.4037
O -4.5085 -2.5790 -4.5868
O -0.9038 -4.3746 -4.0053
O -3.6389 -5.0243 -4.7911
O -3.3645 -3.7269 -2.5498
O -1.9272 -1.4810 -3.7437
Co -2.4921 -3.2583 -4.4429
Co -4.2791 -2.7975 -1.1714
Ni -3.4112 -4.7614 -6.7755
Ge -0.5388 -1.3571 -2.4654

***

No. 2
5
Lattice="-0.6562 2.0866 -3.3178 0.9918 -3.0495 -2.1140 -3.7827 -1.2179 -0.0178" Properties=species:S:1:pos:R:3 comment="Co2NiGeO, relaxed, DFT GGA+U" total_magnetization_mub_per_cell=4.301 space_group=P4/mmm energy_ev_per_cell=-20.5 pbc="T T T"
Ge -1.7235 -1.0904 -2.7248
Ni 0.4959 -1.5248 -1.0570
O 0.0000 0.0000 0.0000
Co -1.8913 -0.6090 -0.0089
Co -0.3281 1.0433 -1.6589

***

No. 3
14
Lattice="-5.1938 -0.4465 -2.7450 -0.3216 -2.5131 -5.3490 -2.5514 -5.2854 -0.5920" Properties=species:S:1:pos:R:3 comment="CoNiGeO4, relaxed, DFT GGA+U" total_magnetization_mub_per_cell=10.025 space_group=C2/c energy_ev_per_cell=-83.3 pbc="T T T"
O -6.0465 -6.1882 -6.4955
O -4.6184 -2.2759 -3.5612
O -3.2917 -4.7131 -2.4645
O -5.8860 -4.9301 -3.8482
O -4.7751 -3.5319 -6.2214
O -3.4485 -5.9691 -5.1248
O -2.1808 -3.3149 -4.8377
O -2.0203 -2.0568 -2.1904
Co -1.2757 -2.6427 -0.2960
Co -3.8726 -2.8659 -1.6685
Ni 0.0000 0.0000 0.0000
Ni -1.4365 -3.8992 -2.9705
Ge -3.7680 -2.5043 -5.1300
Ge -4.2989 -5.7407 -3.5559